#A
15
Lattice="-6.0011 -1.7943 2.3266 2.1006 -9.1386 -1.6297 2.0845 3.9352 8.4114" Properties=species:S:1:pos:R:3 comment="PBE Nd8Sm6Er, relaxed" spacegroup="No. 147" total_magnetization_mub_per_fu=0.00 dos_ef_per_ev_fu=22.185 pbc="T T T"
Nd -4.3573 -0.6696 4.2704
Nd -1.9451 -5.1089 7.0686
Nd -2.4632 0.0147 9.6834
Nd 2.5413 -6.3282 4.8380
Nd 0.1291 -1.8889 2.0398
Nd 0.6473 -7.0124 -0.5750
Nd -3.2226 -2.0111 7.1240
Nd 1.4066 -4.9866 1.9843
Sm -2.3910 -6.8195 1.1985
Sm -0.8485 -7.2885 4.8154
Sm -2.3195 -3.7756 3.7305
Sm 0.5751 -0.1782 7.9099
Sm -0.9675 0.2908 4.2930
Sm 0.5035 -3.2221 5.3779
Er -3.0005 -0.8971 1.1633



#B
15
Lattice="-2.7874 -0.6795 -8.8056 -4.8306 -7.4001 -2.7700 -8.5155 0.5948 -2.2205" Properties=species:S:1:pos:R:3 comment="PBE Nd8Sm6Er, relaxed" spacegroup="No. 148" total_magnetization_mub_per_fu=0.00 dos_ef_per_ev_fu=22.227 pbc="T T T"
Nd -7.0067 -1.9138 -4.2695
Nd -6.1140 -1.0736 -7.5621
Nd -7.5084 -5.3810 -4.0033
Nd -6.6704 -4.5106 -7.2808
Nd -9.4631 -2.9741 -6.5153
Nd -8.6251 -2.1038 -9.7929
Nd -10.0195 -6.4112 -6.2341
Nd -9.1268 -5.5710 -9.5266
Sm -13.1262 -6.4665 -8.5038
Sm -2.4695 -1.7813 -1.7985
Sm -4.3109 -4.0862 -3.8901
Sm -11.8226 -3.3985 -9.9060
Sm -13.6640 -5.7035 -11.9976
Sm -3.0073 -1.0183 -5.2923
Er 0.0000 0.0000 0.0000



Stability ranking, top entry: #B; the second entry is 49 meV/atom less favorable.



#A
10
Lattice="8.7172 0.0000 4.6259 3.1312 8.1354 4.6259 2.2280 1.5298 6.3278" Properties=species:S:1:pos:R:3 comment="PBE NdSm3Er6, relaxed" spacegroup="No. 146" total_magnetization_mub_per_fu=0.00 dos_ef_per_ev_fu=20.545 pbc="T T T"
Nd 11.3282 7.7782 10.2322
Sm 6.5179 4.4754 8.7703
Sm 7.7999 5.3556 6.3545
Sm 3.0035 2.0623 4.8665
Er 10.3074 5.1069 8.6992
Er 5.4834 7.7851 7.1151
Er 6.3655 2.3211 5.5923
Er 3.6687 4.4824 7.2409
Er 8.3545 1.8138 8.7551
Er 7.5531 7.1454 10.2725



#B
20
Lattice="-5.5706 -0.0339 2.7450 -1.6941 -10.2272 -3.5645 4.7862 1.5936 9.7327" Properties=species:S:1:pos:R:3 comment="PBE NdSm3Er6, relaxed" spacegroup="No. 36" total_magnetization_mub_per_fu=0.00 dos_ef_per_ev_fu=14.556 pbc="T T T"
Nd 2.6364 -0.8417 7.4016
Nd -3.9645 -7.8188 0.9446
Sm -0.7210 -8.4451 4.9043
Sm -2.0862 -5.8715 9.1908
Sm 1.8752 -3.0360 4.7119
Sm -2.3170 -5.6192 3.1976
Sm -4.1042 -0.2368 5.1652
Sm -2.7390 -2.8103 0.8786
Er 1.5643 -6.3057 3.5536
Er -0.6011 -5.1919 6.1981
Er 1.6380 -3.9939 8.4469
Er -3.8846 -9.0040 4.2027
Er -3.6785 -9.7033 -1.8365
Er -0.6103 -1.7713 7.7280
Er -0.6398 -6.8888 0.5798
Er -0.5731 1.0250 11.6233
Er 0.0900 0.3284 5.3589
Er -5.4325 -4.6816 1.1147
Er 0.5454 -3.4609 1.5211
Er -1.6200 -2.3471 4.1656



Stability ranking, top entry: #B; the second entry is 147 meV/atom less favorable.



#A
19
Lattice="11.7469 0.0000 0.0000 -5.8735 8.9592 1.0161 0.0000 -2.0278 5.9033" Properties=species:S:1:pos:R:3 comment="PBE Nd12Sm2Er5, relaxed" spacegroup="No. 12" total_magnetization_mub_per_fu=0.00 dos_ef_per_ev_fu=26.158 pbc="T T T"
Nd 0.0000 0.1517 6.1460
Nd -2.8294 3.7930 5.3397
Nd 2.8294 3.7930 5.3397
Nd -2.9540 6.3135 3.0734
Nd 2.9540 6.3135 3.0734
Nd 0.0000 6.4642 5.1897
Nd 5.8735 0.4672 1.7297
Nd 8.8275 0.6180 3.8459
Nd 2.9194 0.6180 3.8459
Nd 8.7029 3.1384 1.5797
Nd 3.0440 3.1384 1.5797
Nd 5.8735 6.7798 0.7734
Sm 9.0654 0.0000 0.0000
Sm 2.6815 0.0000 0.0000
Er 0.0000 2.7303 3.6874
Er 0.0000 5.4770 1.4874
Er 0.0000 -1.0139 2.9516
Er 5.8735 1.4545 5.4319
Er 5.8735 4.2011 3.2319



#B
19
Lattice="10.4029 0.0000 0.0000 -5.2014 7.8085 -0.4518 0.0000 0.7754 8.0215" Properties=species:S:1:pos:R:3 comment="PBE Nd12Sm2Er5, relaxed" spacegroup="No. 12" total_magnetization_mub_per_fu=0.00 dos_ef_per_ev_fu=26.677 pbc="T T T"
Nd 5.2014 5.6170 0.6269
Nd -2.8239 5.4650 6.0822
Nd 2.8239 5.4650 6.0822
Nd -2.3567 6.4525 2.7653
Nd 2.3567 6.4525 2.7653
Nd 0.0000 7.5349 5.3113
Nd 5.2014 1.0490 2.2584
Nd 7.5581 2.1314 4.8044
Nd 2.8447 2.1314 4.8044
Nd 8.0254 3.1190 1.4874
Nd 2.3775 3.1190 1.4874
Nd 0.0000 2.9670 6.9427
Sm 7.7953 0.0000 0.0000
Sm 2.6075 0.0000 0.0000
Er 0.0000 4.2096 3.8757
Er 0.0000 5.5042 0.4069
Er 0.0000 0.3877 4.0107
Er 5.2014 3.0798 7.1628
Er 5.2014 4.3743 3.6940



Stability ranking, top entry: #A; the second entry is 31 meV/atom less favorable.



#A
10
Lattice="-0.7219 5.4271 3.0225 -2.0259 -0.9001 7.6021 6.6712 2.6120 3.3732" Properties=species:S:1:pos:R:3 comment="PBE NdSm4Er5, relaxed" spacegroup="No. 79" total_magnetization_mub_per_fu=0.00 dos_ef_per_ev_fu=14.395 pbc="T T T"
Nd -0.1597 1.2008 0.6688
Sm 3.5632 3.6660 6.6030
Sm 2.0247 5.3009 9.7696
Sm 1.9663 1.3304 3.9454
Sm 0.4278 2.9654 7.1120
Er 4.7820 6.3967 8.3986
Er 2.1506 1.7650 9.6168
Er 1.8472 4.8142 4.0691
Er -0.7841 0.1825 5.2874
Er -0.4927 3.7038 2.0627



#B
10
Lattice="0.0778 -3.2963 -1.2699 3.8672 -3.6663 9.7825 -8.0869 0.4207 3.3198" Properties=species:S:1:pos:R:3 comment="PBE NdSm4Er5, relaxed" spacegroup="No. 2" total_magnetization_mub_per_fu=0.00 dos_ef_per_ev_fu=13.637 pbc="T T T"
Nd 0.0389 -1.6481 -0.6349
Sm -1.4951 -2.9370 2.6464
Sm -6.5467 -3.7240 4.3596
Sm -2.6467 -3.6049 9.1861
Sm 2.4050 -2.8178 7.4728
Er -0.6682 -2.4307 6.2864
Er 0.8494 -3.8972 10.2066
Er -4.9912 -2.6446 1.6258
Er 1.9725 -3.4813 4.2563
Er -3.4736 -4.1112 5.5460



Stability ranking, top entry: #B; the second entry is 97 meV/atom less favorable.



#A
14
Lattice="5.8356 0.0000 0.0000 0.0000 9.7407 0.0000 0.0000 -4.8703 8.4357" Properties=species:S:1:pos:R:3 comment="PBE Nd3Sm3Er, relaxed" spacegroup="No. 176" total_magnetization_mub_per_fu=0.00 dos_ef_per_ev_fu=12.214 pbc="T T T"
Nd 4.3767 2.7766 3.2081
Nd 4.3767 6.2603 4.4270
Nd 1.4589 -0.7037 7.6351
Nd 4.3767 5.5740 0.8006
Nd 1.4589 -1.3900 4.0087
Nd 1.4589 2.0937 5.2275
Sm 4.3767 -2.7732 8.0456
Sm 4.3767 3.4840 6.8145
Sm 1.4589 5.5811 6.4244
Sm 4.3767 -0.7108 2.0112
Sm 1.4589 1.3864 1.6212
Sm 1.4589 7.6435 0.3900
Er 1.4589 4.8703 2.8119
Er 4.3767 0.0000 5.6238



#B
14
Lattice="7.9521 0.4781 4.0870 2.6998 7.4950 4.0870 0.6388 0.4781 8.9180" Properties=species:S:1:pos:R:3 comment="PBE Nd3Sm3Er, relaxed" spacegroup="No. 148" total_magnetization_mub_per_fu=0.00 dos_ef_per_ev_fu=10.143 pbc="T T T"
Nd 6.6961 2.1509 11.9865
Nd 4.4303 7.4510 10.8625
Nd 9.4748 5.8186 8.3374
Nd 1.8158 2.6328 8.7545
Nd 6.8604 1.0003 6.2294
Nd 4.5945 6.3004 5.1055
Sm 7.3118 4.6322 5.8763
Sm 2.8524 5.7100 8.2892
Sm 5.1591 1.1277 9.0312
Sm 6.1315 7.3237 8.0607
Sm 8.4382 2.7413 8.8027
Sm 3.9789 3.8191 11.2156
Er 3.9039 2.9222 5.9098
Er 7.3867 5.5291 11.1821



Stability ranking, top entry: #A; the second entry is 201 meV/atom less favorable.



#A
10
Lattice="-0.6752 -6.0623 -1.6201 5.3123 -4.5542 6.6202 -8.4326 4.5438 -1.1552" Properties=species:S:1:pos:R:3 comment="PBE Nd7SmEr2, relaxed" spacegroup="No. 2" total_magnetization_mub_per_fu=0.00 dos_ef_per_ev_fu=15.151 pbc="T T T"
Nd 0.9139 -1.9610 2.9350
Nd -4.7093 -4.1116 0.9098
Nd -2.6051 -1.3659 2.1088
Nd -1.1903 -4.7068 1.7361
Nd 3.1999 -7.2830 5.3991
Nd -6.9954 1.2104 -1.5542
Nd 2.3186 -5.3083 2.5000
Sm 0.0000 0.0000 0.0000
Er -5.5839 -2.1246 -1.9801
Er 1.7884 -3.9481 5.8250



#B
10
Lattice="-4.8484 -2.9656 0.7873 3.0217 -2.7267 8.3382 -4.9417 7.7613 -1.1978" Properties=species:S:1:pos:R:3 comment="PBE Nd7SmEr2, relaxed" spacegroup="No. 65" total_magnetization_mub_per_fu=0.00 dos_ef_per_ev_fu=14.828 pbc="T T T"
Nd 1.2221 -0.3565 6.1832
Nd -3.1421 5.3911 0.9573
Nd -3.6874 0.6308 0.5755
Nd -3.0809 1.4382 7.3523
Nd -1.8503 -1.7888 2.7754
Nd -4.9181 3.8578 5.1523
Nd -3.3842 1.0345 3.9639
Sm 0.0000 0.0000 0.0000
Er -1.7550 -1.1112 5.9148
Er -5.0134 3.1802 2.0129



Stability ranking, top entry: #A; the second entry is 622 meV/atom less favorable.



#A
6
Lattice="-3.2318 1.2172 -0.6147 -2.1240 -3.4249 4.3849 4.1987 8.3871 4.5402" Properties=species:S:1:pos:R:3 comment="PBE Nd3SmEr2, relaxed" spacegroup="No. 71" total_magnetization_mub_per_fu=0.00 dos_ef_per_ev_fu=11.058 pbc="T T T"
Nd -1.0620 -1.7124 2.1925
Nd -1.7374 3.4000 5.8584
Nd 0.5804 2.7794 2.4520
Sm 0.0000 0.0000 0.0000
Er -2.2599 0.8978 3.6510
Er 1.1029 5.2816 4.6594



#B
12
Lattice="-0.7423 5.5677 0.4405 -8.9234 -1.2472 0.7263 4.0937 -0.0919 8.0588" Properties=species:S:1:pos:R:3 comment="PBE Nd3SmEr2, relaxed" spacegroup="No. 63" total_magnetization_mub_per_fu=0.00 dos_ef_per_ev_fu=9.161 pbc="T T T"
Nd -7.1735 4.3833 4.0679
Nd -5.5404 1.9494 1.5521
Nd -0.3924 4.9852 7.8877
Nd 1.2408 2.5512 5.3718
Nd -4.7565 1.5277 8.2034
Nd -1.1763 5.4071 1.2364
Sm -4.2830 4.5457 6.8873
Sm -1.6498 2.3890 2.5525
Er -4.6255 1.8248 4.6684
Er -4.0750 4.8642 3.2123
Er -1.8578 2.0704 6.2275
Er -1.3073 5.1098 4.7713



Stability ranking, top entry: #B; the second entry is 52 meV/atom less favorable.



#A
12
Lattice="-1.4292 5.0374 -3.0139 -7.0625 -2.2305 -6.4345 -8.2817 2.2753 1.6746" Properties=species:S:1:pos:R:3 comment="PBE Nd4Sm7Er, relaxed" spacegroup="No. 12" total_magnetization_mub_per_fu=0.41 dos_ef_per_ev_fu=18.429 pbc="T T T"
Nd -7.4939 3.4854 -2.7319
Nd -9.2795 1.5967 -5.0419
Nd -5.6066 2.1173 -5.9135
Nd -11.1668 2.9648 -1.8603
Sm -11.8093 3.2666 -7.1068
Sm -4.9642 1.8155 -0.6671
Sm -6.3807 -0.2356 -3.4235
Sm -10.3927 5.3177 -4.3503
Sm -12.4797 1.1527 -4.2665
Sm -0.7146 2.5187 -1.5070
Sm -4.2937 3.9294 -3.5074
Er 0.0000 0.0000 0.0000



#B
12
Lattice="6.2012 -1.4100 2.8528 1.1245 6.0074 2.4769 2.7607 -2.0270 11.4021" Properties=species:S:1:pos:R:3 comment="PBE Nd4Sm7Er, relaxed" spacegroup="No. 2" total_magnetization_mub_per_fu=0.00 dos_ef_per_ev_fu=19.302 pbc="T T T"
Nd 4.7376 2.5742 6.3050
Nd 5.3488 -0.0037 10.4268
Nd 7.2164 2.6523 11.9431
Nd 2.8700 -0.0818 4.7887
Sm 8.1703 0.0087 14.3832
Sm 1.9161 2.5618 2.3487
Sm 2.4792 0.5025 8.2597
Sm 7.6072 2.0679 8.4721
Sm 4.3697 3.1923 9.8500
Sm 3.1006 -0.7050 1.4264
Sm 5.7167 -0.6218 6.8818
Er 0.0000 0.0000 0.0000



Stability ranking, top entry: #B; the second entry is 135 meV/atom less favorable.



#A
18
Lattice="9.1436 1.7986 1.2983 4.2330 8.3019 1.2983 5.8357 4.4065 10.5337" Properties=species:S:1:pos:R:3 comment="PBE NdSm5Er3, relaxed" spacegroup="No. 12" total_magnetization_mub_per_fu=0.00 dos_ef_per_ev_fu=13.071 pbc="T T T"
Nd 17.0477 12.8726 11.4579
Nd 2.1646 1.6345 1.6724
Sm 11.8430 6.8643 4.2073
Sm 5.8009 6.2255 1.2983
Sm 8.8340 6.6705 2.3170
Sm 8.3922 6.3369 5.6470
Sm 10.8201 8.1702 7.4834
Sm 10.3783 7.8366 10.8134
Sm 9.8441 9.5114 4.2073
Sm 7.5757 3.8750 1.2983
Sm 7.3694 7.6428 8.9231
Sm 9.3682 4.9956 8.9231
Er 13.3825 10.1050 9.0177
Er 13.1277 9.9126 5.7426
Er 0.0000 0.0000 0.0000
Er 2.9179 2.2033 5.2668
Er 5.8298 4.4020 4.1126
Er 6.0846 4.5944 7.3878



#B
18
Lattice="6.3999 0.0000 0.0000 -3.1999 10.1823 -5.2363 0.0000 -2.8635 10.9940" Properties=species:S:1:pos:R:3 comment="PBE NdSm5Er3, relaxed" spacegroup="No. 15" total_magnetization_mub_per_fu=0.00 dos_ef_per_ev_fu=12.821 pbc="T T T"
Nd 5.5405 -2.1476 8.2455
Nd 0.8594 -0.7159 2.7485
Sm 2.5420 -2.1476 8.2455
Sm 2.0482 6.6460 -3.1653
Sm 4.5252 3.0589 -0.3432
Sm 1.1517 0.6728 8.9230
Sm 1.3253 5.6917 0.6039
Sm 3.8579 -0.7159 2.7485
Sm -2.0482 5.2143 2.3317
Sm 5.2482 2.1045 3.4260
Sm 1.8747 1.6271 5.1538
Sm -1.3253 4.2600 6.1009
Er 0.0000 0.0000 0.0000
Er 1.9146 2.4102 1.7074
Er 0.0000 -1.4317 5.4970
Er 1.2853 4.9087 4.0503
Er 4.4852 0.9784 7.2044
Er -1.2853 6.3404 -1.4467



Stability ranking, top entry: #B; the second entry is 129 meV/atom less favorable.